Record 1
TaRe3N (GGA-PBEsol, optimized geometry); DOS at the Fermi energy = 3.9 states/eV per cell; space-group type = Pm-3m, No. 221; E_form (uncorrected) = -20 meV per atom
1.0
4.067 0.000 0.000
0.000 4.067 0.000
0.000 0.000 4.067
Re N Ta
3 1 1
Cartesian
0.000 2.033 0.000 Re
0.000 0.000 2.033 Re
2.033 0.000 0.000 Re
0.000 0.000 0.000 N
2.033 2.033 2.033 Ta


Record 2
MgCoRu2 (GGA-PBEsol, optimized geometry); DOS at the Fermi energy = 5.9 states/eV per cell; space-group type = P2/m, No. 10; ΔE_f = 1.3 eV per formula unit
1.0
2.665 0.000 -0.019
0.000 4.237 0.000
-0.854 0.000 4.793
Co Mg Ru
1 1 2
Cartesian
1.333 2.119 -0.010 Co
-0.427 2.119 2.397 Mg
1.171 0.000 3.657 Ru
0.640 0.000 1.118 Ru


Record 3
KAuN2F (GGA-PBEsol, optimized geometry); DOS at the Fermi energy = 1.2 states/eV per cell; space-group type = P4/mmm, No. 123; E_form (uncorrected) = 1821 meV per atom
1.0
-0.470 2.246 3.934
-1.139 -4.374 2.360
4.942 -0.741 1.013
K N Au F
1 2 1 1
Cartesian
0.000 0.000 0.000 K
2.471 -0.370 0.506 N
-0.570 -2.187 1.180 N
1.667 -1.434 3.654 Au
-0.235 1.123 1.967 F


Record 4
K2CuSb (GGA-PBEsol, optimized geometry); DOS at the Fermi energy = 0.0 states/eV per cell; space-group type = Amm2, No. 38; E_form (uncorrected) = -197 meV per atom
1.0
4.661 0.000 0.000
0.000 5.544 0.000
0.000 -2.772 5.490
Sb K Cu
1 2 1
Cartesian
0.000 2.772 3.057 Sb
0.000 0.000 1.029 K
2.330 0.000 4.329 K
2.330 2.772 2.351 Cu


Record 5
Mn2CuO4 (GGA-PBEsol, optimized geometry); DOS at the Fermi energy = 3.4 states/eV per cell; relative energy among the computed polymorphs = 0 meV per atom; space-group type = Fd-3m, No. 227; E_form (uncorrected) = -1420 meV per atom
1.0
5.746 0.000 -0.012
0.000 5.745 0.000
-2.865 -2.873 4.071
Mn Cu O
4 2 8
Cartesian
0.000 2.873 0.000 Mn
-1.432 1.436 2.035 Mn
2.873 2.873 -0.006 Mn
-1.432 -1.436 2.035 Mn
1.439 0.000 1.014 Cu
1.443 2.873 3.045 Cu
3.027 2.873 1.919 O
-1.428 1.287 3.961 O
-1.428 -1.287 3.961 O
3.027 0.000 2.133 O
4.310 4.159 0.098 O
-0.146 2.873 1.926 O
-0.145 0.000 2.140 O
4.310 1.586 0.098 O